[1]
12
Lattice="-2.1681 3.0929 6.4919 2.1681 -3.0929 6.4919 2.1681 3.0929 -6.4919" Properties=species:S:1:pos:R:3 comment="Mn6Rh5Au | Alexandria via LeMat-Bulk | PBE | optimized geometry" energy_ev_per_cell=-96.76 vol_a3_per_cell=174 m_tot_mub_per_fu=25.9 n_ef_per_ev_cell=8.54 pbc="T T T"
Mn 2.1681 1.5139 -2.2051
Mn 0.0000 1.4807 0.0000
Mn 2.1681 1.5139 2.2051
Mn 0.0000 1.5790 4.2868
Mn 0.0000 4.7052 0.0000
Mn 0.0000 1.5790 8.6970
Rh 2.1681 0.0000 0.0000
Rh 0.0000 0.0000 2.1702
Rh 2.1681 0.0000 4.3550
Rh 0.0000 3.0929 2.1369
Rh 0.0000 0.0000 10.8135
Au 0.0000 0.0000 6.4919

***

[2]
4
Lattice="2.8520 0.0000 0.0000 0.0000 2.8520 0.0000 0.0000 0.0000 6.1259" Properties=species:S:1:pos:R:3 comment="BeVIr2 | Alexandria via LeMat-Bulk | PBE | optimized geometry" energy_ev_per_cell=-32.93 vol_a3_per_cell=50 m_tot_mub_per_fu=0.2 n_ef_per_ev_cell=2.60 pbc="T T T"
Be 0.0000 0.0000 0.0000
V 0.0000 0.0000 3.0629
Ir 1.4260 1.4260 1.3968
Ir 1.4260 1.4260 4.7291

***

[3]
18
Lattice="1.8707 -5.8728 0.0000 1.8707 5.8728 0.0000 0.0000 0.0000 11.3366" Properties=species:S:1:pos:R:3 comment="PrCo5Si3 | Alexandria via LeMat-Bulk | PBE | optimized geometry" energy_ev_per_cell=-122.91 e_form_raw_ev_per_atom=-0.542 vol_a3_per_cell=249 m_tot_mub_per_fu=1.4 n_ef_per_ev_cell=16.11 pbc="T T T"
Pr 1.8707 3.8680 8.5025
Pr 1.8707 -3.8680 2.8342
Co 0.0000 0.0000 0.0000
Co 0.0000 0.0000 5.6683
Co 1.8707 3.6051 0.7295
Co 1.8707 3.6051 4.9388
Co 1.8707 0.5803 7.3252
Co 1.8707 0.5803 9.6798
Co 1.8707 -0.5803 1.6569
Co 1.8707 -0.5803 4.0115
Co 1.8707 -3.6051 6.3978
Co 1.8707 -3.6051 10.6071
Si 1.8707 4.6143 2.8342
Si 1.8707 1.4011 0.4352
Si 1.8707 1.4011 5.2331
Si 1.8707 -1.4011 6.1035
Si 1.8707 -1.4011 10.9014
Si 1.8707 -4.6143 8.5025

***

[4]
11
Lattice="7.6629 -3.3589 0.0000 7.6629 3.3589 0.0000 -2.8310 0.0000 8.7891" Properties=species:S:1:pos:R:3 comment="Ac5PrSn5 | Alexandria via LeMat-Bulk | PBE | optimized geometry" energy_ev_per_cell=-50.57 vol_a3_per_cell=452 m_tot_mub_per_fu=0.1 n_ef_per_ev_cell=10.80 pbc="T T T"
Ac 0.0000 0.0000 0.0000
Ac 4.5346 0.0000 1.4920
Ac 3.2062 0.0000 5.8482
Ac 9.2885 0.0000 2.9409
Ac 7.9602 0.0000 7.2972
Pr -1.4155 0.0000 4.3946
Sn 1.4782 0.0000 2.9560
Sn 0.1214 0.0000 7.2736
Sn 6.2474 0.0000 4.3946
Sn 12.3734 0.0000 1.5156
Sn 11.0165 0.0000 5.8332

***

[5]
5
Lattice="3.9625 0.0000 0.0000 0.0000 3.9625 0.0000 0.0000 0.0000 4.6684" Properties=species:S:1:pos:R:3 comment="HfTi2HW | Alexandria via LeMat-Bulk | PBE | optimized geometry" energy_ev_per_cell=-42.02 e_above_lowest_polymorph_ev_per_atom=0.000 vol_a3_per_cell=73 m_tot_mub_per_fu=0.1 n_ef_per_ev_cell=6.30 pbc="T T T"
Hf 0.0000 0.0000 0.0000
Ti 0.0000 1.9812 2.3342
Ti 1.9812 0.0000 2.3342
H 0.0000 0.0000 2.3342
W 1.9812 1.9812 0.0000

***

[6]
5
Lattice="-2.3304 2.3304 7.2904 2.3304 -2.3304 7.2904 2.3304 2.3304 -7.2904" Properties=species:S:1:pos:R:3 comment="Pb2Se2Br | Alexandria via LeMat-Bulk | PBE | optimized geometry" energy_ev_per_cell=-18.19 e_above_lowest_polymorph_ev_per_atom=0.011 e_form_raw_ev_per_atom=-0.426 vol_a3_per_cell=158 m_tot_mub_per_fu=0.0 n_ef_per_ev_cell=1.99 pbc="T T T"
Pb 0.0000 0.0000 1.8145
Pb 0.0000 0.0000 12.7664
Se 2.3304 0.0000 3.6452
Se 0.0000 2.3304 3.6452
Br 0.0000 0.0000 7.2904

***

[7]
18
Lattice="1.9228 -8.4317 0.0000 1.9228 8.4317 0.0000 0.0000 0.0000 11.9062" Properties=species:S:1:pos:R:3 comment="Pm2ErZnS5 | Alexandria via LeMat-Bulk | PBE | optimized geometry" energy_ev_per_cell=-103.38 e_form_raw_ev_per_atom=-1.746 vol_a3_per_cell=386 m_tot_mub_per_fu=0.0 n_ef_per_ev_cell=1.56 pbc="T T T"
Pm 1.9228 6.5000 5.9531
Pm 1.9228 6.2025 1.5981
Pm 1.9228 -6.2025 7.5512
Pm 1.9228 -6.5000 0.0000
Er 1.9228 5.0894 9.9061
Er 1.9228 -5.0894 3.9529
Zn 1.9228 0.7721 3.1415
Zn 1.9228 -0.7721 9.0946
S 1.9228 7.7455 10.3641
S 1.9228 3.5398 5.8435
S 1.9228 3.1028 2.0455
S 1.9228 2.4235 9.7668
S 1.9228 0.1147 7.0098
S 1.9228 -0.1147 1.0567
S 1.9228 -2.4235 3.8137
S 1.9228 -3.1028 7.9986
S 1.9228 -3.5398 11.7966
S 1.9228 -7.7455 4.4110

***

[8]
10
Lattice="7.7935 0.0000 0.0000 0.0000 7.7935 0.0000 0.0000 0.0000 3.9848" Properties=species:S:1:pos:R:3 comment="La2YNi2 | Alexandria via LeMat-Bulk | PBE | optimized geometry" energy_ev_per_cell=-58.30 e_above_lowest_polymorph_ev_per_atom=0.004 vol_a3_per_cell=242 m_tot_mub_per_fu=0.0 n_ef_per_ev_cell=9.40 pbc="T T T"
La 1.2935 2.6033 0.0000
La 2.6033 6.5001 0.0000
La 5.1902 1.2935 0.0000
La 6.5001 5.1902 0.0000
Y 0.0000 0.0000 1.9924
Y 3.8968 3.8968 1.9924
Ni 0.9676 4.8644 1.9924
Ni 2.9292 0.9676 1.9924
Ni 4.8644 6.8259 1.9924
Ni 6.8259 2.9292 1.9924